Below is Hg3Bi3Pb after structural relaxation, with properties calculated at the GGA-PBE level.

The crystal system is cubic. The formation energy comes out at 3.18 eV per formula unit. Its density of states at the Fermi level is 0.856 states/eV/atom.

The structure belongs to space group Pm-3n (No. 223); the cell edges are 8.235, 8.235 and 8.235 Å and the angles 90.00°, 90.00° and 90.00°. The distinct sites, in fractional coordinates, are Hg at (0.000, 0.250, 0.500), Bi at (0.000, 0.500, 0.250) and Pb at (0.000, 0.000, 0.000).

***

Below is LiBSe2 after structural relaxation, with properties calculated at the GGA-PBE level.

The crystal system is triclinic. Its density of states at the Fermi level is 0.000 states/eV/atom. The calculation puts the uncorrected formation energy at -1.68 eV/f.u.

The structure belongs to space group P1 (No. 1); the cell edges are 4.188, 6.134 and 7.826 Å and the angles 68.27°, 74.63° and 89.99°. The distinct sites, in fractional coordinates, are Li at (0.000, 0.000, 0.000), Li at (0.245, 0.324, 0.506), B at (0.127, 0.300, 0.139), B at (0.733, 0.300, 0.139), Se at (0.341, 0.049, 0.319), Se at (0.544, 0.468, 0.909), Se at (0.614, 0.172, 0.769) and Se at (0.884, 0.557, 0.232).

***

Below is BeRe2Pb after structural relaxation, with properties calculated at the GGA-PBE level.

The crystal system is orthorhombic. The formation energy comes out at 3.46 eV per formula unit. Its density of states at the Fermi level is 0.807 states/eV/atom. For the offset from the most stable computed form, the calculation gives 538 meV per atom.

The structure belongs to space group Imm2 (No. 44); the cell edges are 3.211, 4.435 and 8.753 Å and the angles 90.00°, 90.00° and 90.00°. The distinct sites, in fractional coordinates, are Be at (0.000, 0.000, 0.000), Re at (0.000, 0.000, 0.532), Re at (0.000, 0.500, 0.294) and Pb at (0.000, 0.500, 0.756).

***

Below is Sr2LiZnPd6 after structural relaxation, with properties calculated at the GGA-PBE level.

The crystal system is monoclinic. The formation energy comes out at -3.25 eV per formula unit. Its density of states at the Fermi level is 0.180 states/eV/atom.

The structure belongs to space group C2/m (No. 12); the cell edges are 9.287, 9.272 and 6.408 Å and the angles 90.00°, 133.46° and 90.00°. The distinct sites, in fractional coordinates, are Sr at (0.000, 0.225, 0.000), Li at (0.000, 0.500, 0.500), Zn at (0.000, 0.000, 0.500), Pd at (0.000, 0.261, 0.500), Pd at (0.210, 0.500, 0.436) and Pd at (0.212, 0.500, 0.984).

***

Below is Co4NiW after structural relaxation, with properties calculated at the GGA-PBE level.

The crystal system is cubic. The formation energy comes out at 0.51 eV per formula unit. Its density of states at the Fermi level is 1.885 states/eV/atom. For the offset from the most stable computed form, the calculation gives 0 meV per atom.

The structure belongs to space group F-43m (No. 216); the cell edges are 6.520, 6.520 and 6.520 Å and the angles 90.00°, 90.00° and 90.00°. The distinct sites, in fractional coordinates, are Co at (0.125, 0.125, 0.125), Ni at (0.250, 0.250, 0.750) and W at (0.000, 0.000, 0.500).

***

Below is Ce2ScFe9 after structural relaxation, with properties calculated at the GGA-PBE level.

The crystal system is trigonal. The formation energy comes out at -0.84 eV per formula unit. Its density of states at the Fermi level is 1.204 states/eV/atom.

The structure belongs to space group R-3m (No. 166, hexagonal axes); the cell edges are 4.9752, 4.9752 and 24.6818 Å and the angles 90.00°, 90.00° and 120.00°. The distinct sites, in fractional coordinates, are Ce at (0.0000, 0.0000, 0.1430), Sc at (0.0000, 0.0000, 0.0000), Fe at (0.0000, 0.0000, 0.3329), Fe at (0.0000, 0.0000, 0.5000) and Fe at (0.0013, 0.5007, 0.0799).

***

Below is In3PdN after structural relaxation, with properties calculated at the GGA-PBE level.

The crystal system is cubic. Its density of states at the Fermi level is 0.548 states/eV/atom. The calculation puts the uncorrected formation energy at 3.97 eV/f.u. For the offset from the most stable computed form, the calculation gives 363 meV per atom.

The structure belongs to space group Pm-3m (No. 221); the cell edges are 5.155, 5.155 and 5.155 Å and the angles 90.00°, 90.00° and 90.00°. The distinct sites, in fractional coordinates, are In at (0.000, 0.000, 0.500), Pd at (0.000, 0.000, 0.000) and N at (0.500, 0.500, 0.500).

***

Below is Ta2TiNi after structural relaxation, with properties calculated at the GGA-PBE level.

The crystal system is tetragonal. The formation energy comes out at 1.36 eV per formula unit. Its density of states at the Fermi level is 0.766 states/eV/atom. For the offset from the most stable computed form, the calculation gives 419 meV per atom.

The structure belongs to space group I-42d (No. 122); the cell edges are 7.190, 7.190 and 5.295 Å and the angles 90.00°, 90.00° and 90.00°. The distinct sites, in fractional coordinates, are Ta at (0.216, 0.250, 0.125), Ti at (0.000, 0.000, 0.500) and Ni at (0.000, 0.000, 0.000).

***

Below is La2DyHo2 after structural relaxation, with properties calculated at the GGA-PBE level.

The crystal system is monoclinic. The formation energy comes out at 1.20 eV per formula unit. Its density of states at the Fermi level is 1.653 states/eV/atom. For the offset from the most stable computed form, the calculation gives 206 meV per atom.

The structure belongs to space group C2/c (No. 15); the cell edges are 8.814, 9.676 and 8.912 Å and the angles 90.00°, 113.04° and 90.00°. The distinct sites, in fractional coordinates, are La at (0.160, 0.087, 0.140), Dy at (0.000, 0.208, 0.750), Ho at (0.000, 0.500, 0.000) and Ho at (0.250, 0.250, 0.500).

***

Below is Rb3ZnAg after structural relaxation, with properties calculated at the GGA-PBE level.

The crystal system is cubic. The formation energy comes out at 1.28 eV per formula unit. Its density of states at the Fermi level is 1.225 states/eV/atom. For the offset from the most stable computed form, the calculation gives 0 meV per atom.

The structure belongs to space group Pm-3m (No. 221); the cell edges are 6.827, 6.827 and 6.827 Å and the angles 90.00°, 90.00° and 90.00°. The distinct sites, in fractional coordinates, are Rb at (0.000, 0.000, 0.500), Zn at (0.500, 0.500, 0.500) and Ag at (0.000, 0.000, 0.000).

***

Below is CeMgP2 after structural relaxation, with properties calculated at the GGA-PBE level.

The crystal system is trigonal. The formation energy comes out at -3.64 eV per formula unit. For the offset from the most stable computed form, the calculation gives 23 meV per atom.

The structure belongs to space group R3m (No. 160, hexagonal axes); the cell edges are 4.0073, 4.0073 and 19.0020 Å and the angles 90.00°, 90.00° and 120.00°. The distinct sites, in fractional coordinates, are Ce at (0.0000, 0.0000, 0.0000), Mg at (0.0000, 0.0000, 0.1741), P at (0.0000, 0.0000, 0.4203) and P at (0.0000, 0.0000, 0.5819).

***

Below is Ba2SrRe after structural relaxation, with properties calculated at the GGA-PBE level.

The crystal system is orthorhombic. The formation energy comes out at 3.36 eV per formula unit. Its density of states at the Fermi level is 1.364 states/eV/atom. For the offset from the most stable computed form, the calculation gives 0 meV per atom.

The structure belongs to space group Immm (No. 71); the cell edges are 3.659, 5.650 and 16.379 Å and the angles 90.00°, 90.00° and 90.00°. The distinct sites, in fractional coordinates, are Ba at (0.000, 0.000, 0.157), Sr at (0.000, 0.500, 0.000) and Re at (0.000, 0.500, 0.500).

***

Below is Mg2TeAu after structural relaxation, with properties calculated at the GGA-PBE level.

The crystal system is orthorhombic. Its density of states at the Fermi level is 0.392 states/eV/atom. The calculation puts the uncorrected formation energy at -1.70 eV/f.u.

The structure belongs to space group Pmmm (No. 47); the cell edges are 3.587, 3.636 and 6.626 Å and the angles 90.00°, 90.00° and 90.00°. The distinct sites, in fractional coordinates, are Mg at (0.000, 0.000, 0.225), Te at (0.500, 0.500, 0.500) and Au at (0.500, 0.500, 0.000).